[1]
A plane-wave DFT calculation with PBE-GGA was carried out for LuCuNiSn after structural relaxation.

Summary:
The distance to the lowest polymorph of the same formula comes out at 0.2544 eV per atom. The total moment comes out at 0.0 μB per formula unit. Its total energy is -74.3 eV for the cell shown.

a = 6.537 Å, b = 6.537 Å, c = 6.537 Å
α = 90.00°, β = 90.00°, γ = 90.00°
Space group F-43m (No. 216)
One atom of each set of equivalent atoms:
1 Lu 0.000 0.000 0.000 (multiplicity 4)
2 Cu 0.250 0.250 0.750 (multiplicity 4)
3 Ni 0.000 0.000 0.500 (multiplicity 4)
4 Sn 0.250 0.250 0.250 (multiplicity 4)

=====

[2]
A plane-wave DFT calculation with PBE-GGA was carried out for LuCuNiSn after structural relaxation.

Summary:
The distance to the lowest polymorph of the same formula comes out at 0.3126 eV per atom. The total moment comes out at 0.0 μB per formula unit. Its total energy is -73.4 eV for the cell shown.

a = 6.569 Å, b = 6.569 Å, c = 6.569 Å
α = 90.00°, β = 90.00°, γ = 90.00°
Space group F-43m (No. 216)
One atom of each set of equivalent atoms:
1 Lu 0.000 0.000 0.000 (multiplicity 4)
2 Cu 0.000 0.000 0.500 (multiplicity 4)
3 Ni 0.250 0.250 0.750 (multiplicity 4)
4 Sn 0.250 0.250 0.250 (multiplicity 4)

=====

[3]
A plane-wave DFT calculation with PBE-GGA was carried out for LuZrCuNi after structural relaxation.

Summary:
The distance to the lowest polymorph of the same formula comes out at 0.2547 eV per atom. The value obtained for the formation energy is -0.028 eV/atom. The total moment comes out at 0.0 μB per formula unit. Its total energy is -89.9 eV for the cell shown.

a = 6.424 Å, b = 6.424 Å, c = 6.424 Å
α = 90.00°, β = 90.00°, γ = 90.00°
Space group F-43m (No. 216)
One atom of each set of equivalent atoms:
1 Lu 0.000 0.000 0.000 (multiplicity 4)
2 Zr 0.250 0.250 0.750 (multiplicity 4)
3 Cu 0.250 0.250 0.250 (multiplicity 4)
4 Ni 0.000 0.000 0.500 (multiplicity 4)

=====

[4]
A plane-wave DFT calculation with PBE-GGA was carried out for LuZrCuNi after structural relaxation.

Summary:
The distance to the lowest polymorph of the same formula comes out at 0.0000 eV per atom. The value obtained for the formation energy is -0.283 eV/atom. The total moment comes out at 0.0 μB per formula unit. Its total energy is -93.9 eV for the cell shown.

a = 6.573 Å, b = 6.573 Å, c = 6.573 Å
α = 90.00°, β = 90.00°, γ = 90.00°
Space group F-43m (No. 216)
One atom of each set of equivalent atoms:
1 Lu 0.000 0.000 0.000 (multiplicity 4)
2 Zr 0.000 0.000 0.500 (multiplicity 4)
3 Cu 0.250 0.250 0.750 (multiplicity 4)
4 Ni 0.250 0.250 0.250 (multiplicity 4)

=====

[5]
A plane-wave DFT calculation with PBE-GGA was carried out for Lu2CuOs after structural relaxation.

Summary:
The value obtained for the formation energy is 0.102 eV/atom. The total moment comes out at 0.0 μB per formula unit. Its total energy is -94.3 eV for the cell shown.

a = 6.608 Å, b = 6.608 Å, c = 6.608 Å
α = 90.00°, β = 90.00°, γ = 90.00°
Space group F-43m (No. 216)
One atom of each set of equivalent atoms:
1 Lu 0.000 0.000 0.000 (multiplicity 4)
2 Lu 0.250 0.250 0.250 (multiplicity 4)
3 Cu 0.250 0.250 0.750 (multiplicity 4)
4 Os 0.000 0.000 0.500 (multiplicity 4)

=====

[6]
A plane-wave DFT calculation with PBE-GGA was carried out for LuCuOs after structural relaxation.

Summary:
The distance to the lowest polymorph of the same formula comes out at 0.4029 eV per atom. The value obtained for the formation energy is 0.936 eV/atom. The total moment comes out at 0.0 μB per formula unit. Its total energy is -66.6 eV for the cell shown.

a = 6.218 Å, b = 6.218 Å, c = 6.218 Å
α = 90.00°, β = 90.00°, γ = 90.00°
Space group F-43m (No. 216)
One atom of each set of equivalent atoms:
1 Lu 0.000 0.000 0.000 (multiplicity 4)
2 Cu 0.250 0.250 0.750 (multiplicity 4)
3 Os 0.250 0.250 0.250 (multiplicity 4)